(1)
An optimized crystal structure of CaGdDyIn, computed with PBE.

energy of formation	-0.6	eV per formula unit
density of states at the Fermi level	5.241	states/eV/f.u.

a = 5.511 Å, b = 5.511 Å, c = 5.511 Å
α = 60.00°, β = 60.00°, γ = 60.00°
Sites, in units of the cell vectors:
Ca: 0.000 0.000 0.000
Gd: 0.750 0.750 0.750
Dy: 0.250 0.250 0.250
In: 0.500 0.500 0.500

---

(2)
An optimized crystal structure of BeIrAu2, computed with PBE.

energy of formation	0.9	eV per formula unit
density of states at the Fermi level	3.714	states/eV/f.u.

a = 2.793 Å, b = 2.793 Å, c = 8.708 Å
α = 90.00°, β = 90.00°, γ = 117.58°
Sites, in units of the cell vectors:
Be: 0.000 0.000 0.000
Ir: 0.000 0.000 0.500
Au: 0.500 0.500 0.216
Au: 0.500 0.500 0.784

---

(3)
An optimized crystal structure of Y5Ta4, computed with PBE.

energy of formation	4.1	eV per formula unit
density of states at the Fermi level	11.513	states/eV/f.u.
energy above the most stable polymorph in this dataset	95.7	meV per atom

a = 8.971 Å, b = 8.971 Å, c = 6.312 Å
α = 90.00°, β = 90.00°, γ = 120.00°
Sites, in units of the cell vectors:
Y: 0.000 0.369 0.250
Y: 0.000 0.631 0.750
Y: 0.333 0.667 0.000
Y: 0.333 0.667 0.500
Y: 0.369 0.000 0.250
Y: 0.369 0.369 0.750
Y: 0.631 0.000 0.750
Y: 0.631 0.631 0.250
Y: 0.667 0.333 0.000
Y: 0.667 0.333 0.500
Ta: 0.000 0.000 0.000
Ta: 0.000 0.000 0.500
Ta: 0.000 0.268 0.750
Ta: 0.000 0.732 0.250
Ta: 0.268 0.000 0.750
Ta: 0.268 0.268 0.250
Ta: 0.732 0.000 0.250
Ta: 0.732 0.732 0.750